# 1
A plane-wave DFT calculation with PBE was carried out for a relaxed structure of NaMgNbSi2.

Values from the calculation:
Volume (Å³ per cell): 108
ΔE_f (raw) (eV per atom): 1.24
Total moment (μB per cell): 2.36

a = 4.8356 Å, b = 4.8356 Å, c = 4.6282 Å
α = 90.00°, β = 90.00°, γ = 90.00°
Closest atoms and distances in Å follow each position.
Fractional positions:
Na: 0.0000 0.0000 0.0000  2 Mg 2.31
Mg: 0.0000 0.0000 0.5000  2 Na 2.31, 4 Si 2.42
Nb: 0.5000 0.5000 0.0000  8 Si 3.35, 4 Na 3.42
Si: 0.0000 0.5000 0.5000  2 Mg 2.42
Si: 0.5000 0.0000 0.5000  2 Mg 2.42

=====

# 2
A plane-wave DFT calculation with PBE was carried out for a relaxed structure of SrCa2P.

Values from the calculation:
Volume (Å³ per cell): 258
ΔH_f (0 K) (kJ/mol of formula units): -230
Total moment (μB per cell): 1.49

a = 6.9688 Å, b = 6.9688 Å, c = 9.1769 Å
α = 90.00°, β = 90.00°, γ = 144.59°
Closest atoms and distances in Å follow each position.
Fractional positions:
Sr: 0.0679 0.9321 0.7500  2 P 3.20
Sr: 0.9321 0.0679 0.2500  2 P 3.20
Ca: 0.3493 0.6507 0.5663  3 P 3.02-3.18, 1 Ca 3.37
Ca: 0.3493 0.6507 0.9337  3 P 3.02-3.18, 1 Ca 3.37
Ca: 0.6507 0.3493 0.0663  3 P 3.02-3.18, 1 Ca 3.37
Ca: 0.6507 0.3493 0.4337  3 P 3.02-3.18, 1 Ca 3.37
P: 0.2518 0.7482 0.2500  6 Ca 3.02-3.18, 2 Sr 3.20
P: 0.7482 0.2518 0.7500  6 Ca 3.02-3.18, 2 Sr 3.20

=====

# 3
A plane-wave DFT calculation with PBE was carried out for a relaxed structure of CrHgMo2.

Values from the calculation:
Volume (Å³ per cell): 143
ΔH_f (0 K) (kJ/mol of formula units): 348
Total moment (μB per cell): 5.93

a = 10.2663 Å, b = 10.2663 Å, c = 10.2663 Å
α = 158.70°, β = 158.70°, γ = 30.30°
Closest atoms and distances in Å follow each position.
Fractional positions:
Cr: 0.0000 0.0000 0.0000  4 Hg 2.68, 4 Mo 2.79
Cr: 0.7500 0.2500 0.5000  4 Hg 2.68, 4 Mo 2.79
Hg: 0.2500 0.7500 0.5000  4 Cr 2.68, 4 Mo 2.84
Hg: 0.5000 0.5000 0.0000  4 Cr 2.68, 4 Mo 2.84
Mo: 0.1063 0.6250 0.9813  4 Mo 2.58-2.79, 2 Cr 2.79, 2 Hg 2.84
Mo: 0.3750 0.3563 0.4813  4 Mo 2.58-2.79, 2 Cr 2.79, 2 Hg 2.84
Mo: 0.6437 0.1250 0.0187  4 Mo 2.58-2.79, 2 Cr 2.79, 2 Hg 2.84
Mo: 0.8750 0.8937 0.5187  4 Mo 2.58-2.79, 2 Cr 2.79, 2 Hg 2.84

=====

# 4
A plane-wave DFT calculation with PBE was carried out for a relaxed structure of YCdTe2O8.

Values from the calculation:
Volume (Å³ per cell): 186
ΔE_f (raw) (eV per atom): -1.39
Total moment (μB per cell): 0.00

a = 6.2370 Å, b = 6.2370 Å, c = 6.2370 Å
α = 107.24°, β = 107.24°, γ = 114.03°
Closest atoms and distances in Å follow each position.
Fractional positions:
Y: 0.0000 0.0000 0.0000  8 O 2.33-2.49
Cd: 0.7500 0.2500 0.5000  8 O 2.37-2.56
Te: 0.2500 0.7500 0.5000  4 O 1.89
Te: 0.5000 0.5000 0.0000  4 O 1.89
O: 0.0648 0.3740 0.3093  1 Te 1.89
O: 0.0648 0.7555 0.6907  1 Te 1.89
O: 0.1231 0.3069 0.8162  1 Te 1.89
O: 0.2445 0.9352 0.3093  1 Te 1.89
O: 0.4908 0.3069 0.1838  1 Te 1.89
O: 0.6260 0.9352 0.6907  1 Te 1.89
O: 0.6931 0.5092 0.8162  1 Te 1.89
O: 0.6931 0.8769 0.1838  1 Te 1.89

=====

# 5
A plane-wave DFT calculation with PBE was carried out for a relaxed structure of Y3BBr3.

Values from the calculation:
Volume (Å³ per cell): 717
ΔE_f (raw) (eV per atom): -1.29
Total moment (μB per cell): 0.00

a = 9.7655 Å, b = 9.7655 Å, c = 9.7655 Å
α = 109.47°, β = 109.47°, γ = 109.47°
Closest atoms and distances in Å follow each position.
Fractional positions:
Y: 0.0202 0.0404 0.2702  2 B 2.60
Y: 0.0202 0.4798 0.7500  2 B 2.60
Y: 0.0404 0.2702 0.0202  2 B 2.60
Y: 0.2298 0.2702 0.7500  2 B 2.60
Y: 0.2298 0.4596 0.4798  2 B 2.60
Y: 0.2702 0.0202 0.0404  2 B 2.60
Y: 0.2702 0.7500 0.2298  2 B 2.60
Y: 0.4596 0.4798 0.2298  2 B 2.60
Y: 0.4798 0.2298 0.4596  2 B 2.60
Y: 0.4798 0.7500 0.0202  2 B 2.60
Y: 0.7500 0.0202 0.4798  2 B 2.60
Y: 0.7500 0.2298 0.2702  2 B 2.60
B: 0.0000 0.2500 0.5000  6 Y 2.60
B: 0.2500 0.2500 0.2500  6 Y 2.60
B: 0.2500 0.5000 0.0000  6 Y 2.60
B: 0.5000 0.0000 0.2500  6 Y 2.60
Br: 0.2500 0.7579 0.7421  4 Y 2.93-3.06
Br: 0.2500 0.9921 0.5079  4 Y 2.93-3.06
Br: 0.5079 0.2500 0.9921  4 Y 2.93-3.06
Br: 0.5079 0.7579 0.5158  4 Y 2.93-3.06
Br: 0.5158 0.5079 0.7579  4 Y 2.93-3.06
Br: 0.7421 0.2500 0.7579  4 Y 2.93-3.06
Br: 0.7421 0.9921 0.9842  4 Y 2.93-3.06
Br: 0.7579 0.5158 0.5079  4 Y 2.93-3.06
Br: 0.7579 0.7421 0.2500  4 Y 2.93-3.06
Br: 0.9842 0.7421 0.9921  4 Y 2.93-3.06
Br: 0.9921 0.5079 0.2500  4 Y 2.93-3.06
Br: 0.9921 0.9842 0.7421  4 Y 2.93-3.06

=====

# 6
A plane-wave DFT calculation with PBE was carried out for a relaxed structure of Nd4ZnRu3.

Values from the calculation:
Volume (Å³ per cell): 199
ΔH_f (0 K) (kJ/mol of formula units): -135
Total moment (μB per cell): 0.00

a = 4.2921 Å, b = 4.4491 Å, c = 10.4309 Å
α = 90.00°, β = 90.00°, γ = 90.00°
Closest atoms and distances in Å follow each position.
Fractional positions:
Nd: 0.0000 0.0000 0.0000  2 Zn 3.08, 5 Ru 3.10-3.22
Nd: 0.0000 0.5000 0.2824  2 Ru 2.96, 4 Zn 3.18
Nd: 0.5000 0.0000 0.5143  6 Ru 2.91-3.24, 1 Zn 3.16
Nd: 0.5000 0.5000 0.8031  7 Ru 2.96-3.26
Zn: 0.5000 0.0000 0.2113  2 Ru 2.57
Ru: 0.0000 0.0000 0.7027  2 Ru 2.44
Ru: 0.0000 0.5000 0.6066  2 Ru 2.44
Ru: 0.5000 0.5000 0.0873  2 Zn 2.57

=====

# 7
A plane-wave DFT calculation with PBE was carried out for a relaxed structure of BaNdAgPt.

Values from the calculation:
Volume (Å³ per cell): 110
ΔH_f (0 K) (kJ/mol of formula units): -165
Total moment (μB per cell): 0.00

a = 5.3772 Å, b = 5.3772 Å, c = 5.3772 Å
α = 60.00°, β = 60.00°, γ = 60.00°
Closest atoms and distances in Å follow each position.
Fractional positions:
Ba: 0.0000 0.0000 0.0000  4 Pt 3.29, 4 Ag 3.29
Nd: 0.5000 0.5000 0.5000  4 Ag 3.29, 4 Pt 3.29
Ag: 0.2500 0.2500 0.2500  4 Nd 3.29, 4 Ba 3.29
Pt: 0.7500 0.7500 0.7500  4 Nd 3.29, 4 Ba 3.29

=====

# 8
A plane-wave DFT calculation with PBE was carried out for a relaxed structure of PrTh2Ga.

Values from the calculation:
Relative energy among the computed polymorphs (meV/atom): 44
Volume (Å³ per cell): 119
ΔH_f (0 K) (kJ/mol of formula units): -44
Total moment (μB per cell): 0.00

a = 3.9122 Å, b = 3.9122 Å, c = 7.7908 Å
α = 90.00°, β = 90.00°, γ = 90.00°
Closest atoms and distances in Å follow each position.
Fractional positions:
Pr: 0.0000 0.0000 0.0000  8 Th 3.62, 2 Ga 3.90, 4 Pr 3.91
Th: 0.5000 0.5000 0.3006  1 Th 3.11, 4 Ga 3.17
Th: 0.5000 0.5000 0.6994  1 Th 3.11, 4 Ga 3.17
Ga: 0.0000 0.0000 0.5000  8 Th 3.17

=====

# 9
A plane-wave DFT calculation with PBE was carried out for a relaxed structure of Pm3NdY2.

Values from the calculation:
Relative energy among the computed polymorphs (meV/atom): 0
Volume (Å³ per cell): 406
ΔH_f (0 K) (kJ/mol of formula units): 8
Total moment (μB per cell): 0.00

a = 9.6104 Å, b = 9.6104 Å, c = 6.2822 Å
α = 90.16°, β = 90.16°, γ = 44.36°
Closest atoms and distances in Å follow each position.
Fractional positions:
Pm: 0.1249 0.8751 0.7500  4 Nd 3.62-3.63, 4 Pm 3.63-3.64, 4 Y 3.63-3.64
Pm: 0.2073 0.4577 0.5829  4 Pm 3.60-3.64, 6 Y 3.61-3.63, 2 Nd 3.64-3.65
Pm: 0.4577 0.2073 0.0829  4 Pm 3.60-3.64, 6 Y 3.61-3.63, 2 Nd 3.64-3.65
Pm: 0.5423 0.7927 0.9171  4 Pm 3.60-3.64, 6 Y 3.61-3.63, 2 Nd 3.64-3.65
Pm: 0.7927 0.5423 0.4171  4 Pm 3.60-3.64, 6 Y 3.61-3.63, 2 Nd 3.64-3.65
Pm: 0.8751 0.1249 0.2500  4 Nd 3.62-3.63, 4 Pm 3.63-3.64, 4 Y 3.63-3.64
Nd: 0.3745 0.6255 0.2500  8 Pm 3.62-3.65, 2 Nd 3.63, 2 Y 3.64
Nd: 0.6255 0.3745 0.7500  8 Pm 3.62-3.65, 2 Nd 3.63, 2 Y 3.64
Y: 0.0428 0.2916 0.9169  8 Pm 3.61-3.64, 3 Y 3.62, 1 Nd 3.64
Y: 0.2916 0.0428 0.4169  8 Pm 3.61-3.64, 3 Y 3.62, 1 Nd 3.64
Y: 0.7084 0.9572 0.5831  8 Pm 3.61-3.64, 3 Y 3.62, 1 Nd 3.64
Y: 0.9572 0.7084 0.0831  8 Pm 3.61-3.64, 3 Y 3.62, 1 Nd 3.64

=====

# 10
A plane-wave DFT calculation with PBE was carried out for a relaxed structure of AgSnPtO6.

Values from the calculation:
Volume (Å³ per cell): 228
ΔE_f (raw) (eV per atom): -0.56
Total moment (μB per cell): 0.00

a = 5.3878 Å, b = 5.3878 Å, c = 9.0708 Å
α = 90.00°, β = 90.00°, γ = 120.00°
Closest atoms and distances in Å follow each position.
Fractional positions:
Ag: 0.0000 0.0000 0.0000  6 O 2.28
Ag: 0.0000 0.0000 0.5000  6 O 2.28
Sn: 0.3333 0.6667 0.2500  6 O 2.10
Sn: 0.6667 0.3333 0.7500  6 O 2.10
Pt: 0.3333 0.6667 0.7500  6 O 1.98
Pt: 0.6667 0.3333 0.2500  6 O 1.98
O: 0.0159 0.3718 0.6289  1 Pt 1.98, 1 Sn 2.10
O: 0.0159 0.6441 0.8711  1 Pt 1.98, 1 Sn 2.10
O: 0.3559 0.3718 0.8711  1 Pt 1.98, 1 Sn 2.10
O: 0.3559 0.9841 0.6289  1 Pt 1.98, 1 Sn 2.10
O: 0.3718 0.0159 0.1289  1 Pt 1.98, 1 Sn 2.10
O: 0.3718 0.3559 0.3711  1 Pt 1.98, 1 Sn 2.10
O: 0.6282 0.6441 0.6289  1 Pt 1.98, 1 Sn 2.10
O: 0.6282 0.9841 0.8711  1 Pt 1.98, 1 Sn 2.10
O: 0.6441 0.0159 0.3711  1 Pt 1.98, 1 Sn 2.10
O: 0.6441 0.6282 0.1289  1 Pt 1.98, 1 Sn 2.10
O: 0.9841 0.3559 0.1289  1 Pt 1.98, 1 Sn 2.10
O: 0.9841 0.6282 0.3711  1 Pt 1.98, 1 Sn 2.10

=====

# 11
A plane-wave DFT calculation with PBE was carried out for a relaxed structure of Al2SiNi4.

Values from the calculation:
Relative energy among the computed polymorphs (meV/atom): 105
Volume (Å³ per cell): 182
ΔE_f (raw) (eV per atom): -0.40
Total moment (μB per cell): 0.00

a = 3.9079 Å, b = 3.9079 Å, c = 13.7600 Å
α = 90.00°, β = 90.00°, γ = 120.00°
Closest atoms and distances in Å follow each position.
Fractional positions:
Al: 0.3333 0.6667 0.0000  7 Ni 2.31-2.55
Al: 0.3333 0.6667 0.3696  7 Ni 2.51-2.60
Al: 0.6667 0.3333 0.5000  7 Ni 2.31-2.55
Al: 0.6667 0.3333 0.8696  7 Ni 2.51-2.60
Si: 0.0000 0.0000 0.1312  8 Ni 2.19-2.39
Si: 0.0000 0.0000 0.6312  8 Ni 2.19-2.39
Ni: 0.0000 0.0000 0.2904  1 Si 2.19, 1 Ni 2.39
Ni: 0.0000 0.0000 0.4640  1 Si 2.30, 3 Al 2.31, 1 Ni 2.39
Ni: 0.0000 0.0000 0.7904  1 Si 2.19, 1 Ni 2.39
Ni: 0.0000 0.0000 0.9640  1 Si 2.30, 3 Al 2.31, 1 Ni 2.39
Ni: 0.3333 0.6667 0.1855  3 Si 2.38, 2 Al 2.53-2.55
Ni: 0.3333 0.6667 0.5737  3 Si 2.39, 3 Al 2.47
Ni: 0.6667 0.3333 0.0737  3 Si 2.39, 3 Al 2.47
Ni: 0.6667 0.3333 0.6855  3 Si 2.38, 2 Al 2.53-2.55

=====

# 12
A plane-wave DFT calculation with PBE was carried out for a relaxed structure of LaAg2.

Values from the calculation:
Volume (Å³ per cell): 76
ΔH_f (0 K) (kJ/mol of formula units): -82
Total moment (μB per cell): 0.00

a = 4.8438 Å, b = 4.8438 Å, c = 3.7199 Å
α = 90.00°, β = 90.00°, γ = 120.00°
Closest atoms and distances in Å follow each position.
Fractional positions:
La: 0.0000 0.0000 0.0000  12 Ag 3.36, 2 La 3.72
Ag: 0.3333 0.6667 0.5000  3 Ag 2.80
Ag: 0.6667 0.3333 0.5000  3 Ag 2.80